No. 1
# NbTcBi (PBE-GGA, relaxed)
# Magnetization: 0.3 Bohr magnetons per cell
# ρ: 10.13 g cm⁻³
# Excess energy over the best structure of this formula in the dataset: 0.000 eV/atom
data_NbTcBi
_cell_length_a 6.4015
_cell_length_b 6.4015
_cell_length_c 6.4015
_cell_angle_alpha 90.00
_cell_angle_beta 90.00
_cell_angle_gamma 90.00
_symmetry_space_group_name_H-M 'F -4 3 m'
_symmetry_Int_Tables_number 216
_symmetry_space_group_name_Hall 'F -4 2 3'
loop_
_atom_site_label
_atom_site_fract_x
_atom_site_fract_y
_atom_site_fract_z
_atom_site_occupancy
Nb1 0.0000 0.0000 0.0000 1
Tc1 0.2500 0.2500 0.7500 1
Bi1 0.0000 0.0000 0.5000 1

***

No. 2
# PrErInNi2 (PBE-GGA, relaxed)
# Magnetization: 0.0 Bohr magnetons per cell
# ρ: 8.37 g cm⁻³
# Uncorrected energy: -5.1259 eV per atom
data_PrErInNi2
_cell_length_a 3.7241
_cell_length_b 3.9751
_cell_length_c 14.4784
_cell_angle_alpha 90.00
_cell_angle_beta 90.00
_cell_angle_gamma 90.00
_symmetry_space_group_name_H-M 'A m m 2'
_symmetry_Int_Tables_number 38
loop_
_symmetry_equiv_pos_as_xyz
'x,y,z'
'-x,-y,z'
'-x,y,z'
'x,-y,z'
'x,y+1/2,z+1/2'
'-x,-y+1/2,z+1/2'
'-x,y+1/2,z+1/2'
'x,-y+1/2,z+1/2'
loop_
_atom_site_label
_atom_site_fract_x
_atom_site_fract_y
_atom_site_fract_z
_atom_site_occupancy
Pr1 0.0000 0.0000 0.0000 1
Er1 0.0000 0.0000 0.7251 1
In1 0.5000 0.0000 0.3582 1
Ni1 0.5000 0.0000 0.1682 1
Ni2 0.5000 0.0000 0.5690 1

***

No. 3
# LiHfZrIr (PBE-GGA, relaxed)
# Magnetization: 0.0 Bohr magnetons per cell
# ρ: 11.02 g cm⁻³
# Excess energy over the best structure of this formula in the dataset: 0.000 eV/atom
data_LiHfZrIr
_cell_length_a 6.5620
_cell_length_b 6.5620
_cell_length_c 6.5620
_cell_angle_alpha 90.00
_cell_angle_beta 90.00
_cell_angle_gamma 90.00
_symmetry_space_group_name_H-M 'F -4 3 m'
_symmetry_Int_Tables_number 216
_symmetry_space_group_name_Hall 'F -4 2 3'
loop_
_atom_site_label
_atom_site_fract_x
_atom_site_fract_y
_atom_site_fract_z
_atom_site_occupancy
Li1 0.0000 0.0000 0.0000 1
Hf1 0.2500 0.2500 0.2500 1
Zr1 0.2500 0.2500 0.7500 1
Ir1 0.0000 0.0000 0.5000 1

***

No. 4
# Zn (PBE-GGA, relaxed)
# ρ: 7.25 g cm⁻³
# Formation energy from the elements: 36 meV/atom
# Excess energy over the best structure of this formula in the dataset: 0.036 eV/atom
data_Zn
_cell_length_a 4.9306
_cell_length_b 4.9306
_cell_length_c 4.9306
_cell_angle_alpha 90.00
_cell_angle_beta 90.00
_cell_angle_gamma 90.00
_symmetry_space_group_name_H-M 'P m -3 n'
_symmetry_Int_Tables_number 223
_symmetry_space_group_name_Hall '-P 4n 2 3'
loop_
_atom_site_label
_atom_site_fract_x
_atom_site_fract_y
_atom_site_fract_z
_atom_site_occupancy
Zn1 0.0000 0.0000 0.0000 1
Zn2 0.0000 0.2500 0.5000 1

***

No. 5
# Tm2Co2Si (PBE-GGA, relaxed)
# Magnetization: 0.0 Bohr magnetons per cell
# ρ: 9.51 g cm⁻³
# Uncorrected energy: -6.2810 eV per atom
data_Tm2Co2Si
_cell_length_a 9.0915
_cell_length_b 5.2905
_cell_length_c 7.2123
_cell_angle_alpha 90.00
_cell_angle_beta 102.96
_cell_angle_gamma 90.00
_symmetry_space_group_name_H-M 'C 1 2/c 1'
_symmetry_Int_Tables_number 15
loop_
_symmetry_equiv_pos_as_xyz
'x,y,z'
'-x,-y,-z'
'-x,y,-z+1/2'
'x,-y,z+1/2'
'x+1/2,y+1/2,z'
'-x+1/2,-y+1/2,-z'
'-x+1/2,y+1/2,-z+1/2'
'x+1/2,-y+1/2,z+1/2'
loop_
_atom_site_label
_atom_site_fract_x
_atom_site_fract_y
_atom_site_fract_z
_atom_site_occupancy
Tm1 0.1492 0.1377 0.1485 1
Co1 0.1315 0.3644 0.5032 1
Si1 0.0000 0.3794 0.7500 1

***

No. 6
# NdTlHgS3 (PBE-GGA, relaxed)
# Magnetization: 0.0 Bohr magnetons per cell
# ρ: 6.71 g cm⁻³
# Excess energy over the best structure of this formula in the dataset: 0.010 eV/atom
data_NdTlHgS3
_cell_length_a 12.0196
_cell_length_b 4.2821
_cell_length_c 12.4055
_cell_angle_alpha 90.00
_cell_angle_beta 90.00
_cell_angle_gamma 90.00
_symmetry_space_group_name_H-M 'P n m a'
_symmetry_Int_Tables_number 62
loop_
_symmetry_equiv_pos_as_xyz
'x,y,z'
'-x,-y,-z'
'-x+1/2,-y,z+1/2'
'x+1/2,y,-z+1/2'
'x+1/2,-y+1/2,-z+1/2'
'-x+1/2,y+1/2,z+1/2'
'-x,y+1/2,-z'
'x,-y+1/2,z'
loop_
_atom_site_label
_atom_site_fract_x
_atom_site_fract_y
_atom_site_fract_z
_atom_site_occupancy
Nd1 0.0330 0.2500 0.1696 1
Tl1 0.1559 0.2500 0.5188 1
Hg1 0.2485 0.7500 0.3120 1
S1 0.0375 0.7500 0.3256 1
S2 0.0876 0.2500 0.9363 1
S3 0.2315 0.7500 0.6819 1

***

No. 7
# Ho5Te3Ir (PBE-GGA, relaxed)
# Magnetization: 0.6 Bohr magnetons per cell
# ρ: 9.47 g cm⁻³
# Excess energy over the best structure of this formula in the dataset: 0.000 eV/atom
data_Ho5Te3Ir
_cell_length_a 8.6466
_cell_length_b 8.6466
_cell_length_c 3.7920
_cell_angle_alpha 90.00
_cell_angle_beta 90.00
_cell_angle_gamma 120.00
_symmetry_space_group_name_H-M 'P -6 2 m'
_symmetry_Int_Tables_number 189
_symmetry_space_group_name_Hall 'P -6 -2'
loop_
_atom_site_label
_atom_site_fract_x
_atom_site_fract_y
_atom_site_fract_z
_atom_site_occupancy
Ho1 0.0000 0.2313 0.0000 1
Ho2 0.3333 0.6667 0.0000 1
Te1 0.0000 0.5653 0.5000 1
Ir1 0.0000 0.0000 0.5000 1

***

No. 8
# ZrTl2Ir (PBE-GGA, relaxed)
# Magnetization: 0.0 Bohr magnetons per cell
# ρ: 13.74 g cm⁻³
# Uncorrected energy: -5.3910 eV per atom
data_ZrTl2Ir
_cell_length_a 6.9434
_cell_length_b 6.9434
_cell_length_c 6.9434
_cell_angle_alpha 90.00
_cell_angle_beta 90.00
_cell_angle_gamma 90.00
_symmetry_space_group_name_H-M 'F -4 3 m'
_symmetry_Int_Tables_number 216
_symmetry_space_group_name_Hall 'F -4 2 3'
loop_
_atom_site_label
_atom_site_fract_x
_atom_site_fract_y
_atom_site_fract_z
_atom_site_occupancy
Zr1 0.0000 0.0000 0.0000 1
Tl1 0.0000 0.0000 0.5000 1
Tl2 0.2500 0.2500 0.2500 1
Ir1 0.2500 0.2500 0.7500 1

***

No. 9
# LaTaBi (PBE-GGA, relaxed)
# Magnetization: 13.9 Bohr magnetons per cell
# ρ: 8.57 g cm⁻³
# Excess energy over the best structure of this formula in the dataset: 0.463 eV/atom
data_LaTaBi
_cell_length_a 7.4294
_cell_length_b 7.4294
_cell_length_c 7.4294
_cell_angle_alpha 90.00
_cell_angle_beta 90.00
_cell_angle_gamma 90.00
_symmetry_space_group_name_H-M 'F -4 3 m'
_symmetry_Int_Tables_number 216
_symmetry_space_group_name_Hall 'F -4 2 3'
loop_
_atom_site_label
_atom_site_fract_x
_atom_site_fract_y
_atom_site_fract_z
_atom_site_occupancy
La1 0.0000 0.0000 0.0000 1
Ta1 0.2500 0.2500 0.2500 1
Bi1 0.2500 0.2500 0.7500 1

***

No. 10
# LiCoCuSe3 (PBE-GGA, relaxed)
# Magnetization: 0.0 Bohr magnetons per cell
# ρ: 5.95 g cm⁻³
# Uncorrected energy: -4.2071 eV per atom
data_LiCoCuSe3
_cell_length_a 3.5122
_cell_length_b 12.2686
_cell_length_c 9.4829
_cell_angle_alpha 90.00
_cell_angle_beta 90.00
_cell_angle_gamma 90.00
_symmetry_space_group_name_H-M 'C m c m'
_symmetry_Int_Tables_number 63
_symmetry_space_group_name_Hall '-C 2c 2'
loop_
_atom_site_label
_atom_site_fract_x
_atom_site_fract_y
_atom_site_fract_z
_atom_site_occupancy
Li1 0.0000 0.2373 0.2500 1
Co1 0.0000 0.0000 0.0000 1
Cu1 0.0000 0.4446 0.7500 1
Se1 0.0000 0.0783 0.7500 1
Se2 0.0000 0.3649 0.5271 1

***

No. 11
# Y2ErIn3AgPd2 (PBE-GGA, relaxed)
# Magnetization: 0.0 Bohr magnetons per cell
# ρ: 8.36 g cm⁻³
# Uncorrected energy: -5.0178 eV per atom
data_Y2ErIn3AgPd2
_cell_length_a 3.7808
_cell_length_b 13.5530
_cell_length_c 7.8336
_cell_angle_alpha 90.00
_cell_angle_beta 90.00
_cell_angle_gamma 90.00
_symmetry_space_group_name_H-M 'A m m 2'
_symmetry_Int_Tables_number 38
loop_
_symmetry_equiv_pos_as_xyz
'x,y,z'
'-x,-y,z'
'-x,y,z'
'x,-y,z'
'x,y+1/2,z+1/2'
'-x,-y+1/2,z+1/2'
'-x,y+1/2,z+1/2'
'x,-y+1/2,z+1/2'
loop_
_atom_site_label
_atom_site_fract_x
_atom_site_fract_y
_atom_site_fract_z
_atom_site_occupancy
Y1 0.0000 0.2041 0.0000 1
Er1 0.0000 0.0000 0.6129 1
In1 0.5000 0.0000 0.9349 1
In2 0.5000 0.1344 0.3391 1
Ag1 0.0000 0.0000 0.2047 1
Pd1 0.5000 0.1650 0.7031 1

***

No. 12
# NbGeNO (PBE-GGA, relaxed)
# Magnetization: 0.0 Bohr magnetons per cell
# ρ: 5.22 g cm⁻³
# Excess energy over the best structure of this formula in the dataset: 0.000 eV/atom
data_NbGeNO
_cell_length_a 3.6751
_cell_length_b 6.0737
_cell_length_c 5.5769
_cell_angle_alpha 90.00
_cell_angle_beta 90.00
_cell_angle_gamma 90.00
_symmetry_space_group_name_H-M 'P m c 21'
_symmetry_Int_Tables_number 26
loop_
_symmetry_equiv_pos_as_xyz
'x,y,z'
'-x,-y,z+1/2'
'-x,y,z'
'x,-y,z+1/2'
loop_
_atom_site_label
_atom_site_fract_x
_atom_site_fract_y
_atom_site_fract_z
_atom_site_occupancy
Nb1 0.0000 0.2038 0.0000 1
Ge1 0.5000 0.3515 0.6795 1
N1 0.5000 0.3442 0.0694 1
O1 0.0000 0.0652 0.3424 1